Computed, not measured: crystalline Ba3Se at its relaxed geometry at the PBE-GGA level of DFT.

As for the crystal system: orthorhombic. The calculation puts the excess energy over the best structure of this formula in the dataset at 0.1212 eV per atom. For the magnetization, the calculation gives 0.0106 μB per atom. For the raw formation energy, the calculation gives -3.21 eV/f.u.

The structure belongs to space group Cmcm (No. 63); the cell edges are 12.850, 14.954 and 4.391 Å and the angles 90.00°, 90.00° and 90.00°. The asymmetric unit holds Ba at (0.000, 0.141, 0.250), Ba at (0.181, 0.369, 0.250) and Se at (0.000, 0.313, 0.750).